Entry 1:
Below is a relaxed structure of Sn8IrPd2, with properties calculated at the PBE-GGA level.

ΔH_f (0 K) = -0.190 eV/atom
Energy = -53.36 eV per cell
Calculated density = 8.3 g cm⁻³

a = 5.3044 Å, b = 6.6822 Å, c = 8.3372 Å
α = 105.80°, β = 103.98°, γ = 77.37°
Sites, in units of the cell vectors:
Sn: 0.3425 0.0419 0.2950
Sn: 0.2308 0.6661 0.4706
Sn: 0.8523 0.7006 0.0907
Sn: 0.6575 0.9581 0.7050
Sn: 0.3397 0.7025 0.8500
Pd: 0.6983 0.6922 0.3850
Sn: 0.6603 0.2975 0.1500
Ir: 0.0000 0.0000 0.0000
Sn: 0.1477 0.2994 0.9093
Pd: 0.3017 0.3078 0.6150
Sn: 0.7692 0.3339 0.5294

=====

Entry 2:
Below is a relaxed structure of ReTeP2, with properties calculated at the PBE-GGA level.

Energy = -25.26 eV per cell
Formation energy without anion corrections = 0.287 eV per atom
Calculated density = 7.8 g cm⁻³

a = 3.8275 Å, b = 3.8404 Å, c = 5.4756 Å
α = 81.45°, β = 90.00°, γ = 90.00°
Sites, in units of the cell vectors:
Re: 0.0000 0.4412 0.4291
Te: 0.5000 0.7112 0.7194
P: 0.0000 0.9819 0.1684
P: 0.5000 0.3657 0.1831

=====

Entry 3:
Below is a relaxed structure of Rb2Sn4Hg3Sb, with properties calculated at the PBE-GGA level.

Energy = -24.37 eV per cell
Formation energy without anion corrections = -0.140 eV per atom
Calculated density = 7.0 g cm⁻³

a = 5.2210 Å, b = 5.2210 Å, c = 11.9590 Å
α = 90.00°, β = 90.00°, γ = 90.00°
Sites, in units of the cell vectors:
Hg: 0.0000 0.0000 0.5000
Sn: 0.0000 0.5000 0.3738
Rb: 0.5000 0.0000 0.2549
Hg: 0.5000 0.0000 0.8706
Hg: 0.0000 0.5000 0.1294
Sn: 0.5000 0.5000 0.0000
Sn: 0.0000 0.0000 0.0000
Rb: 0.0000 0.5000 0.7451
Sn: 0.5000 0.0000 0.6262
Sb: 0.5000 0.5000 0.5000

=====

Entry 4:
Below is a relaxed structure of ZnS, with properties calculated at the PBE-GGA level.

Energy = -28.04 eV per cell
Formation energy without anion corrections = -0.804 eV per atom
Calculated density = 4.0 g cm⁻³

a = 12.7927 Å, b = 12.7927 Å, c = 12.7927 Å
α = 17.31°, β = 17.31°, γ = 17.31°
Sites, in units of the cell vectors:
Zn: 0.4167 0.4167 0.4167
Zn: 0.0001 0.0001 0.0001
S: 0.8958 0.8958 0.8958
Zn: 0.5834 0.5834 0.5834
Zn: 0.8333 0.8333 0.8333
S: 0.0625 0.0625 0.0625
S: 0.6459 0.6459 0.6459
S: 0.4791 0.4791 0.4791

=====

Entry 5:
Below is a relaxed structure of Ce2PuAu2, with properties calculated at the PBE-GGA level.

ΔH_f (0 K) = -0.429 eV/atom
ΔE to the lowest computed polymorph = 0.08 eV per formula unit
Energy = -69.80 eV per cell
Calculated density = 12.8 g cm⁻³

a = 3.7891 Å, b = 5.7957 Å, c = 12.1873 Å
α = 102.82°, β = 81.06°, γ = 70.92°
Sites, in units of the cell vectors:
Au: 0.8828 0.2841 0.9503
Au: 0.1172 0.7159 0.0497
Ce: 0.6777 0.7878 0.8567
Au: 0.6895 0.2639 0.3570
Ce: 0.0826 0.2595 0.5752
Pu: 0.5146 0.2311 0.7396
Ce: 0.9174 0.7405 0.4248
Pu: 0.4854 0.7689 0.2604
Ce: 0.3223 0.2122 0.1433
Au: 0.3105 0.7361 0.6430

=====

Entry 6:
Below is a relaxed structure of TcGePCl2, with properties calculated at the PBE-GGA level.

ΔE to the lowest computed polymorph = 0.00 eV per formula unit
Energy = -22.28 eV per cell
Formation energy without anion corrections = 0.361 eV per atom
Calculated density = 4.1 g cm⁻³

a = 4.8320 Å, b = 4.8320 Å, c = 4.6779 Å
α = 90.00°, β = 90.00°, γ = 90.00°
Sites, in units of the cell vectors:
Cl: 0.5000 0.0000 0.0000
Cl: 0.0000 0.5000 0.0000
Ge: 0.5000 0.5000 0.5000
P: 0.0000 0.0000 0.5000
Tc: 0.0000 0.0000 0.0000